No. 1
The following is a DFT calculation (PBE-GGA) of Pm2Dy3ErTe6 after structural relaxation.

The structure in POSCAR format:
```
Pm2Dy3ErTe6
1.0
9.560 -2.177 0.000
9.560 2.177 0.000
-1.969 0.000 8.603
Pm Dy Er Te
2 3 1 6
direct
0.171 0.171 0.337 Pm
0.829 0.829 0.663 Pm
0.173 0.173 0.834 Dy
0.500 0.500 0.500 Dy
0.827 0.827 0.166 Dy
0.500 0.500 0.000 Er
0.003 0.003 0.754 Te
0.337 0.337 0.926 Te
0.338 0.338 0.413 Te
0.662 0.662 0.587 Te
0.663 0.663 0.074 Te
0.997 0.997 0.246 Te
```

Results
For the density of states at the Fermi level, the calculation gives 0.5634 states/eV/atom. The raw formation energy comes out at -1.312 eV per atom. The calculation puts the volume at 29.8 Å³ per atom. As for the raw total energy: -5.206 eV per atom. The space group is No. 12. As for the size of the total moment: 0.00 μB per formula unit.

No. 2
The following is a DFT calculation (PBE-GGA) of Pm3DyEr2Te6 after structural relaxation.

The structure in POSCAR format:
```
Pm3DyEr2Te6
1.0
9.640 -2.177 0.000
9.640 2.177 0.000
-2.263 0.000 8.600
Pm Dy Er Te
3 1 2 6
direct
0.000 0.000 0.000 Pm
0.335 0.335 0.668 Pm
0.665 0.665 0.332 Pm
0.000 0.000 0.500 Dy
0.334 0.334 0.169 Er
0.666 0.666 0.831 Er
0.165 0.165 0.590 Te
0.170 0.170 0.075 Te
0.497 0.497 0.255 Te
0.503 0.503 0.745 Te
0.830 0.830 0.925 Te
0.835 0.835 0.410 Te
```

Results
For the density of states at the Fermi level, the calculation gives 0.5015 states/eV/atom. The raw formation energy comes out at -1.326 eV per atom. The calculation puts the volume at 30.1 Å³ per atom. As for the raw total energy: -5.228 eV per atom. The space group is No. 12. As for the size of the total moment: 0.00 μB per formula unit.

Number 1 is which compound?
Pm2Dy3ErTe6